Crystalline InAg at its relaxed geometry, computed with GGA-PBE.

Values from the calculation:
Total DFT energy (no corrections) in eV per atom: -2.66
Crystal system: hexagonal
Spin magnetization in μB per formula unit: 0.000

Lattice parameters (Å, degrees): 3.1684 3.1684 10.4577 90.00 90.00 120.00
Sites, in units of the cell vectors:
1 Ag 0.3333 0.6667 0.0503
2 Ag 0.6667 0.3333 0.5503
3 In 0.3333 0.6667 0.3207
4 In 0.6667 0.3333 0.8207